<w>
# Ti3VP PBE optimized geometry
# Total magnetization = 1.6 μB per formula unit
data_Ti3VP
_cell_length_a 4.480
_cell_length_b 4.480
_cell_length_c 4.480
_cell_angle_alpha 90.00
_cell_angle_beta 90.00
_cell_angle_gamma 90.00
_space_group_name_H-M_alt 'P m -3 m'
_space_group_IT_number 221
_space_group_name_Hall '-P 4 2 3'
loop_
_atom_site_label
_atom_site_fract_x
_atom_site_fract_y
_atom_site_fract_z
_atom_site_occupancy
Ti1 0.000 0.000 0.500 1
V1 0.000 0.000 0.000 1
P1 0.500 0.500 0.500 1

<x>
# Ti3VP PBE optimized geometry
# Total magnetization = 0.0 μB per formula unit
data_Ti3VP
_cell_length_a 9.420
_cell_length_b 7.466
_cell_length_c 5.997
_cell_angle_alpha 90.00
_cell_angle_beta 129.07
_cell_angle_gamma 90.00
_space_group_name_H-M_alt 'C 1 2/m 1'
_space_group_IT_number 12
loop_
_space_group_symop_operation_xyz
'x,y,z'
'-x,-y,-z'
'-x,y,-z'
'x,-y,z'
'x+1/2,y+1/2,z'
'-x+1/2,-y+1/2,-z'
'-x+1/2,y+1/2,-z'
'x+1/2,-y+1/2,z'
loop_
_atom_site_label
_atom_site_fract_x
_atom_site_fract_y
_atom_site_fract_z
_atom_site_occupancy
Ti1 0.062 0.000 0.286 1
Ti2 0.224 0.304 0.212 1
V1 0.067 0.500 0.362 1
P1 0.245 0.500 0.885 1

Which of them is least stable? Easy: <w>.

<w>
# TiVP2 PBE optimized geometry
# Total magnetization = 1.8 μB per formula unit
data_TiVP2
_cell_length_a 5.447
_cell_length_b 5.447
_cell_length_c 11.065
_cell_angle_alpha 90.00
_cell_angle_beta 90.00
_cell_angle_gamma 90.00
_space_group_name_H-M_alt 'I -4 2 d'
_space_group_IT_number 122
_space_group_name_Hall 'I -4 2bw'
loop_
_atom_site_label
_atom_site_fract_x
_atom_site_fract_y
_atom_site_fract_z
_atom_site_occupancy
Ti1 0.000 0.000 0.000 1
V1 0.000 0.000 0.500 1
P1 0.238 0.250 0.625 1

<x>
# TiVP2 PBE optimized geometry
# Total magnetization = 0.0 μB per formula unit
data_TiVP2
_cell_length_a 3.4710
_cell_length_b 3.4710
_cell_length_c 16.8840
_cell_angle_alpha 90.00
_cell_angle_beta 90.00
_cell_angle_gamma 120.00
_space_group_name_H-M_alt 'R -3 m'
_space_group_IT_number 166
_space_group_name_Hall '-R 3 2"'
loop_
_atom_site_label
_atom_site_fract_x
_atom_site_fract_y
_atom_site_fract_z
_atom_site_occupancy
Ti1 0.0000 0.0000 0.0000 1
V1 0.0000 0.0000 0.5000 1
P1 0.0000 0.0000 0.2471 1

Which of them is least stable? Easy: <w>.

<w>
# TiVP2 PBE optimized geometry
# Total magnetization = 0.0 μB per formula unit
data_TiVP2
_cell_length_a 3.2782
_cell_length_b 3.2782
_cell_length_c 6.2398
_cell_angle_alpha 90.00
_cell_angle_beta 90.00
_cell_angle_gamma 120.00
_space_group_name_H-M_alt 'P -3 m 1'
_space_group_IT_number 164
_space_group_name_Hall '-P 3 2"'
loop_
_atom_site_label
_atom_site_fract_x
_atom_site_fract_y
_atom_site_fract_z
_atom_site_occupancy
Ti1 0.0000 0.0000 0.0000 1
V1 0.0000 0.0000 0.5000 1
P1 0.3333 0.6667 0.7400 1

<x>
# TiVP2 PBE optimized geometry
# Total magnetization = 0.0 μB per formula unit
data_TiVP2
_cell_length_a 6.009
_cell_length_b 6.009
_cell_length_c 6.009
_cell_angle_alpha 90.00
_cell_angle_beta 90.00
_cell_angle_gamma 90.00
_space_group_name_H-M_alt 'F m -3 m'
_space_group_IT_number 225
_space_group_name_Hall '-F 4 2 3'
loop_
_atom_site_label
_atom_site_fract_x
_atom_site_fract_y
_atom_site_fract_z
_atom_site_occupancy
Ti1 0.000 0.000 0.000 1
V1 0.000 0.000 0.500 1
P1 0.250 0.250 0.250 1

Which of them is least stable? Easy: <x>.

<w>
# TiP2W PBE optimized geometry
# Total magnetization = 0.0 μB per formula unit
data_TiP2W
_cell_length_a 5.431
_cell_length_b 5.431
_cell_length_c 11.183
_cell_angle_alpha 90.00
_cell_angle_beta 90.00
_cell_angle_gamma 90.00
_space_group_name_H-M_alt 'I -4 2 d'
_space_group_IT_number 122
_space_group_name_Hall 'I -4 2bw'
loop_
_atom_site_label
_atom_site_fract_x
_atom_site_fract_y
_atom_site_fract_z
_atom_site_occupancy
Ti1 0.000 0.000 0.000 1
P1 0.237 0.250 0.625 1
W1 0.000 0.000 0.500 1

<x>
# TiP2W PBE optimized geometry
# Total magnetization = 0.0 μB per formula unit
data_TiP2W
_cell_length_a 3.2321
_cell_length_b 3.2321
_cell_length_c 6.5547
_cell_angle_alpha 90.00
_cell_angle_beta 90.00
_cell_angle_gamma 120.00
_space_group_name_H-M_alt 'P -3 m 1'
_space_group_IT_number 164
_space_group_name_Hall '-P 3 2"'
loop_
_atom_site_label
_atom_site_fract_x
_atom_site_fract_y
_atom_site_fract_z
_atom_site_occupancy
Ti1 0.0000 0.0000 0.0000 1
P1 0.3333 0.6667 0.2504 1
W1 0.0000 0.0000 0.5000 1

Which of them is least stable? Easy: <w>.

<w>
# TiP2W PBE optimized geometry
# Total magnetization = 0.0 μB per formula unit
data_TiP2W
_cell_length_a 3.5149
_cell_length_b 3.5149
_cell_length_c 17.2375
_cell_angle_alpha 90.00
_cell_angle_beta 90.00
_cell_angle_gamma 120.00
_space_group_name_H-M_alt 'R -3 m'
_space_group_IT_number 166
_space_group_name_Hall '-R 3 2"'
loop_
_atom_site_label
_atom_site_fract_x
_atom_site_fract_y
_atom_site_fract_z
_atom_site_occupancy
Ti1 0.0000 0.0000 0.0000 1
P1 0.0000 0.0000 0.2498 1
W1 0.0000 0.0000 0.5000 1

<x>
# TiP2W PBE optimized geometry
# Total magnetization = 0.0 μB per formula unit
data_TiP2W
_cell_length_a 3.229
_cell_length_b 3.293
_cell_length_c 11.147
_cell_angle_alpha 90.00
_cell_angle_beta 90.00
_cell_angle_gamma 90.00
_space_group_name_H-M_alt 'I m m 2'
_space_group_IT_number 44
loop_
_space_group_symop_operation_xyz
'x,y,z'
'-x,-y,z'
'-x,y,z'
'x,-y,z'
'x+1/2,y+1/2,z+1/2'
'-x+1/2,-y+1/2,z+1/2'
'-x+1/2,y+1/2,z+1/2'
'x+1/2,-y+1/2,z+1/2'
loop_
_atom_site_label
_atom_site_fract_x
_atom_site_fract_y
_atom_site_fract_z
_atom_site_occupancy
Ti1 0.000 0.000 0.000 1
P1 0.000 0.000 0.421 1
P2 0.000 0.500 0.167 1
W1 0.000 0.500 0.755 1

Which of them is least stable? Easy: <w>.

<w>
# TiP2W2 PBE optimized geometry
# Total magnetization = 0.0 μB per formula unit
data_TiP2W2
_cell_length_a 7.132
_cell_length_b 7.132
_cell_length_c 2.944
_cell_angle_alpha 90.00
_cell_angle_beta 90.00
_cell_angle_gamma 90.00
_space_group_name_H-M_alt 'P 4/m b m'
_space_group_IT_number 127
_space_group_name_Hall '-P 4 2ab'
loop_
_atom_site_label
_atom_site_fract_x
_atom_site_fract_y
_atom_site_fract_z
_atom_site_occupancy
Ti1 0.000 0.000 0.000 1
P1 0.154 0.346 0.500 1
W1 0.142 0.642 0.000 1

<x>
# TiP2W2 PBE optimized geometry
# Total magnetization = 0.0 μB per formula unit
data_TiP2W2
_cell_length_a 4.504
_cell_length_b 4.504
_cell_length_c 8.381
_cell_angle_alpha 90.00
_cell_angle_beta 90.00
_cell_angle_gamma 90.00
_space_group_name_H-M_alt 'I 4/m m m'
_space_group_IT_number 139
_space_group_name_Hall '-I 4 2'
loop_
_atom_site_label
_atom_site_fract_x
_atom_site_fract_y
_atom_site_fract_z
_atom_site_occupancy
Ti1 0.000 0.000 0.000 1
P1 0.000 0.500 0.250 1
W1 0.000 0.000 0.359 1

Which of them is least stable? Easy: <x>.

<w>
# Ti3PW PBE optimized geometry
# Total magnetization = 2.1 μB per formula unit
data_Ti3PW
_cell_length_a 4.745
_cell_length_b 4.745
_cell_length_c 4.745
_cell_angle_alpha 90.00
_cell_angle_beta 90.00
_cell_angle_gamma 90.00
_space_group_name_H-M_alt 'P m -3 m'
_space_group_IT_number 221
_space_group_name_Hall '-P 4 2 3'
loop_
_atom_site_label
_atom_site_fract_x
_atom_site_fract_y
_atom_site_fract_z
_atom_site_occupancy
Ti1 0.000 0.000 0.500 1
P1 0.500 0.500 0.500 1
W1 0.000 0.000 0.000 1

<x>
# Ti3PW PBE optimized geometry
# Total magnetization = 0.0 μB per formula unit
data_Ti3PW
_cell_length_a 4.464
_cell_length_b 4.464
_cell_length_c 4.464
_cell_angle_alpha 90.00
_cell_angle_beta 90.00
_cell_angle_gamma 90.00
_space_group_name_H-M_alt 'P m -3 m'
_space_group_IT_number 221
_space_group_name_Hall '-P 4 2 3'
loop_
_atom_site_label
_atom_site_fract_x
_atom_site_fract_y
_atom_site_fract_z
_atom_site_occupancy
Ti1 0.000 0.000 0.500 1
P1 0.000 0.000 0.000 1
W1 0.500 0.500 0.500 1

Which of them is least stable? Easy: <w>.

<w>
# YTi3P PBE optimized geometry
# Total magnetization = 0.0 μB per formula unit
data_YTi3P
_cell_length_a 4.687
_cell_length_b 4.687
_cell_length_c 4.687
_cell_angle_alpha 90.00
_cell_angle_beta 90.00
_cell_angle_gamma 90.00
_space_group_name_H-M_alt 'P m -3 m'
_space_group_IT_number 221
_space_group_name_Hall '-P 4 2 3'
loop_
_atom_site_label
_atom_site_fract_x
_atom_site_fract_y
_atom_site_fract_z
_atom_site_occupancy
Y1 0.000 0.000 0.000 1
Ti1 0.000 0.500 0.500 1
P1 0.500 0.500 0.500 1

<x>
# YTi3P PBE optimized geometry
# Total magnetization = 1.9 μB per formula unit
data_YTi3P
_cell_length_a 4.808
_cell_length_b 4.808
_cell_length_c 4.808
_cell_angle_alpha 90.00
_cell_angle_beta 90.00
_cell_angle_gamma 90.00
_space_group_name_H-M_alt 'P m -3 m'
_space_group_IT_number 221
_space_group_name_Hall '-P 4 2 3'
loop_
_atom_site_label
_atom_site_fract_x
_atom_site_fract_y
_atom_site_fract_z
_atom_site_occupancy
Y1 0.000 0.000 0.000 1
Ti1 0.000 0.000 0.500 1
P1 0.500 0.500 0.500 1

Which of them is least stable? Easy: <x>.

<w>
# YTi2P2 PBE optimized geometry
# Total magnetization = 0.0 μB per formula unit
data_YTi2P2
_cell_length_a 7.094
_cell_length_b 7.094
_cell_length_c 3.354
_cell_angle_alpha 90.00
_cell_angle_beta 90.00
_cell_angle_gamma 90.00
_space_group_name_H-M_alt 'P 4/m b m'
_space_group_IT_number 127
_space_group_name_Hall '-P 4 2ab'
loop_
_atom_site_label
_atom_site_fract_x
_atom_site_fract_y
_atom_site_fract_z
_atom_site_occupancy
Y1 0.000 0.000 0.000 1
Ti1 0.149 0.351 0.500 1
P1 0.136 0.636 0.000 1

<x>
# YTi2P2 PBE optimized geometry
# Total magnetization = 0.0 μB per formula unit
data_YTi2P2
_cell_length_a 4.663
_cell_length_b 4.663
_cell_length_c 8.592
_cell_angle_alpha 90.00
_cell_angle_beta 90.00
_cell_angle_gamma 90.00
_space_group_name_H-M_alt 'I 4/m m m'
_space_group_IT_number 139
_space_group_name_Hall '-I 4 2'
loop_
_atom_site_label
_atom_site_fract_x
_atom_site_fract_y
_atom_site_fract_z
_atom_site_occupancy
Y1 0.000 0.000 0.000 1
Ti1 0.000 0.000 0.344 1
P1 0.000 0.500 0.250 1

Which of them is least stable? Easy: <x>.

<w>
# YTiP2 PBE optimized geometry
# Total magnetization = 0.0 μB per formula unit
data_YTiP2
_cell_length_a 5.933
_cell_length_b 5.933
_cell_length_c 11.651
_cell_angle_alpha 90.00
_cell_angle_beta 90.00
_cell_angle_gamma 90.00
_space_group_name_H-M_alt 'I -4 2 d'
_space_group_IT_number 122
_space_group_name_Hall 'I -4 2bw'
loop_
_atom_site_label
_atom_site_fract_x
_atom_site_fract_y
_atom_site_fract_z
_atom_site_occupancy
Y1 0.000 0.000 0.000 1
Ti1 0.000 0.000 0.500 1
P1 0.203 0.250 0.625 1

<x>
# YTiP2 PBE optimized geometry
# Total magnetization = 0.0 μB per formula unit
data_YTiP2
_cell_length_a 3.7481
_cell_length_b 3.7481
_cell_length_c 18.5121
_cell_angle_alpha 90.00
_cell_angle_beta 90.00
_cell_angle_gamma 120.00
_space_group_name_H-M_alt 'R -3 m'
_space_group_IT_number 166
_space_group_name_Hall '-R 3 2"'
loop_
_atom_site_label
_atom_site_fract_x
_atom_site_fract_y
_atom_site_fract_z
_atom_site_occupancy
Y1 0.0000 0.0000 0.0000 1
Ti1 0.0000 0.0000 0.5000 1
P1 0.0000 0.0000 0.2396 1

<y>
# YTiP2 PBE optimized geometry
# Total magnetization = 0.0 μB per formula unit
data_YTiP2
_cell_length_a 3.6967
_cell_length_b 3.6967
_cell_length_c 19.2852
_cell_angle_alpha 90.00
_cell_angle_beta 90.00
_cell_angle_gamma 120.00
_space_group_name_H-M_alt 'R 3 m'
_space_group_IT_number 160
_space_group_name_Hall 'R 3 -2"'
loop_
_atom_site_label
_atom_site_fract_x
_atom_site_fract_y
_atom_site_fract_z
_atom_site_occupancy
Y1 0.0000 0.0000 0.0000 1
Ti1 0.0000 0.0000 0.1748 1
P1 0.0000 0.0000 0.5752 1
P2 0.0000 0.0000 0.7653 1

Which of them is least stable? Easy: <w>.

<w>
# TiZn3P PBE optimized geometry
# Total magnetization = 0.0 μB per formula unit
data_TiZn3P
_cell_length_a 4.921
_cell_length_b 4.921
_cell_length_c 4.921
_cell_angle_alpha 90.00
_cell_angle_beta 90.00
_cell_angle_gamma 90.00
_space_group_name_H-M_alt 'P m -3 m'
_space_group_IT_number 221
_space_group_name_Hall '-P 4 2 3'
loop_
_atom_site_label
_atom_site_fract_x
_atom_site_fract_y
_atom_site_fract_z
_atom_site_occupancy
Ti1 0.000 0.000 0.000 1
Zn1 0.000 0.000 0.500 1
P1 0.500 0.500 0.500 1

<x>
# TiZn3P PBE optimized geometry
# Total magnetization = 0.0 μB per formula unit
data_TiZn3P
_cell_length_a 4.563
_cell_length_b 4.563
_cell_length_c 4.563
_cell_angle_alpha 90.00
_cell_angle_beta 90.00
_cell_angle_gamma 90.00
_space_group_name_H-M_alt 'P m -3 m'
_space_group_IT_number 221
_space_group_name_Hall '-P 4 2 3'
loop_
_atom_site_label
_atom_site_fract_x
_atom_site_fract_y
_atom_site_fract_z
_atom_site_occupancy
Ti1 0.000 0.000 0.000 1
Zn1 0.000 0.500 0.500 1
P1 0.500 0.500 0.500 1

Which of them is least stable? Easy: <w>.

<w>
# Ti2ZnP PBE optimized geometry
# Total magnetization = 0.0 μB per formula unit
data_Ti2ZnP
_cell_length_a 6.850
_cell_length_b 6.850
_cell_length_c 5.452
_cell_angle_alpha 90.00
_cell_angle_beta 90.00
_cell_angle_gamma 90.00
_space_group_name_H-M_alt 'I -4 2 d'
_space_group_IT_number 122
_space_group_name_Hall 'I -4 2bw'
loop_
_atom_site_label
_atom_site_fract_x
_atom_site_fract_y
_atom_site_fract_z
_atom_site_occupancy
Ti1 0.230 0.250 0.125 1
Zn1 0.000 0.000 0.500 1
P1 0.000 0.000 0.000 1

<x>
# Ti2ZnP PBE optimized geometry
# Total magnetization = 0.0 μB per formula unit
data_Ti2ZnP
_cell_length_a 6.178
_cell_length_b 6.178
_cell_length_c 6.178
_cell_angle_alpha 90.00
_cell_angle_beta 90.00
_cell_angle_gamma 90.00
_space_group_name_H-M_alt 'F m -3 m'
_space_group_IT_number 225
_space_group_name_Hall '-F 4 2 3'
loop_
_atom_site_label
_atom_site_fract_x
_atom_site_fract_y
_atom_site_fract_z
_atom_site_occupancy
Ti1 0.250 0.250 0.250 1
Zn1 0.000 0.000 0.000 1
P1 0.000 0.000 0.500 1

Which of them is least stable? Easy: <w>.

<w>
# TiZnP3 PBE optimized geometry
# Total magnetization = 0.0 μB per formula unit
data_TiZnP3
_cell_length_a 4.548
_cell_length_b 4.548
_cell_length_c 4.548
_cell_angle_alpha 90.00
_cell_angle_beta 90.00
_cell_angle_gamma 90.00
_space_group_name_H-M_alt 'P m -3 m'
_space_group_IT_number 221
_space_group_name_Hall '-P 4 2 3'
loop_
_atom_site_label
_atom_site_fract_x
_atom_site_fract_y
_atom_site_fract_z
_atom_site_occupancy
Ti1 0.000 0.000 0.000 1
Zn1 0.500 0.500 0.500 1
P1 0.000 0.500 0.500 1

<x>
# TiZnP3 PBE optimized geometry
# Total magnetization = 0.0 μB per formula unit
data_TiZnP3
_cell_length_a 4.685
_cell_length_b 4.685
_cell_length_c 4.685
_cell_angle_alpha 90.00
_cell_angle_beta 90.00
_cell_angle_gamma 90.00
_space_group_name_H-M_alt 'P m -3 m'
_space_group_IT_number 221
_space_group_name_Hall '-P 4 2 3'
loop_
_atom_site_label
_atom_site_fract_x
_atom_site_fract_y
_atom_site_fract_z
_atom_site_occupancy
Ti1 0.000 0.000 0.000 1
Zn1 0.500 0.500 0.500 1
P1 0.000 0.000 0.500 1

Which of them is least stable? Easy: <w>.